5
Lattice="-2.376 2.376 4.795 2.376 -2.376 4.795 2.376 2.376 -4.795" Properties=species:S:1:pos:R:3 comment="SrAg2P2, optimized geometry, DFT PBE" de_polymorph_mev_per_atom=206 formation_energy_mev_per_atom=-214 total_energy_ev_per_atom=-3.855 sg=I4/mmm pbc="T T T"
Sr 0.000 0.000 0.000
Ag 0.000 0.000 3.376
Ag 0.000 0.000 6.213
P 2.376 0.000 2.397
P 0.000 2.376 2.397



4
Lattice="0.000 3.902 3.902 3.902 0.000 3.902 3.902 3.902 0.000" Properties=species:S:1:pos:R:3 comment="NaCePrSn, optimized geometry, DFT PBE" formation_energy_mev_per_atom=-224 total_energy_ev_per_atom=-4.233 sg=F-43m pbc="T T T"
Na 0.000 0.000 0.000
Ce 1.951 1.951 1.951
Pr 5.853 5.853 5.853
Sn 3.902 3.902 3.902



15
Lattice="3.974 2.294 6.613 -3.974 2.294 6.613 0.000 -4.588 6.613" Properties=species:S:1:pos:R:3 comment="Pr3DyY3S8, optimized geometry, DFT PBE" raw_formation_energy_ev_per_atom=-2.052 total_energy_ev_per_atom=-6.809 sg=R-3m pbc="T T T"
Pr -1.987 -1.147 6.613
Pr -1.987 1.147 13.227
Pr 0.000 2.294 6.613
Dy 0.000 0.000 9.920
Y -3.974 0.000 9.920
Y -1.987 1.147 3.307
Y 1.987 1.147 3.307
S -1.995 -1.152 11.471
S 0.000 0.000 4.848
S 0.000 -2.304 8.369
S -1.995 1.152 8.369
S 1.995 -1.152 11.471
S 0.000 2.304 11.471
S 0.000 0.000 14.992
S 1.995 1.152 8.369



20
Lattice="10.280 0.000 0.000 0.000 10.280 0.000 0.000 0.000 3.320" Properties=species:S:1:pos:R:3 comment="Th2Al2MoRu5, optimized geometry, DFT PBE" formation_energy_mev_per_atom=-320 total_energy_ev_per_atom=-8.273 sg=P4/mbm pbc="T T T"
Th 1.787 3.353 0.000
Th 3.353 8.493 0.000
Th 6.927 1.787 0.000
Th 8.493 6.927 0.000
Al 1.281 6.421 0.000
Al 3.859 1.281 0.000
Al 6.421 8.999 0.000
Al 8.999 3.859 0.000
Mo 0.000 0.000 0.000
Mo 5.140 5.140 0.000
Ru 0.000 5.140 1.660
Ru 0.666 8.219 1.660
Ru 2.061 0.666 1.660
Ru 3.079 5.806 1.660
Ru 4.474 3.079 1.660
Ru 5.140 0.000 1.660
Ru 5.806 7.201 1.660
Ru 7.201 4.474 1.660
Ru 8.219 9.614 1.660
Ru 9.614 2.061 1.660



4
Lattice="2.783 0.000 0.000 0.000 2.783 0.000 0.000 0.000 7.746" Properties=species:S:1:pos:R:3 comment="Al2PdW, optimized geometry, DFT PBE" de_polymorph_mev_per_atom=0 formation_energy_mev_per_atom=-389 total_energy_ev_per_atom=-6.797 sg=P4/mmm pbc="T T T"
Al 0.000 0.000 1.827
Al 0.000 0.000 5.919
Pd 1.391 1.391 0.000
W 1.391 1.391 3.873



18
Lattice="-3.569 4.531 5.522 3.569 -4.531 5.522 3.569 4.531 -5.522" Properties=species:S:1:pos:R:3 comment="CaZnSiAu6, optimized geometry, DFT PBE" raw_formation_energy_ev_per_atom=-0.229 total_energy_ev_per_atom=-3.380 sg=Imma pbc="T T T"
Ca 0.000 2.265 2.333
Ca 3.569 2.265 3.189
Zn 1.785 2.265 -2.761
Zn 1.785 -2.265 2.761
Si 0.000 0.000 0.000
Si 0.000 4.531 0.000
Au 2.133 0.078 1.414
Au 5.006 0.078 1.414
Au 3.569 -2.265 4.665
Au 3.569 2.265 -0.038
Au 2.133 4.609 -1.414
Au 1.436 0.078 4.108
Au 2.133 4.453 1.414
Au 1.436 -0.078 6.936
Au 0.000 2.265 5.560
Au 0.000 6.796 0.857
Au -1.436 4.453 4.108
Au 1.436 4.453 4.108



12
Lattice="4.129 0.000 0.000 -0.013 7.687 0.000 -2.056 -2.083 10.695" Properties=species:S:1:pos:R:3 comment="GdCu2Te3, optimized geometry, DFT PBE" raw_formation_energy_ev_per_atom=-0.597 total_energy_ev_per_atom=-5.880 sg=P-1 pbc="T T T"
Gd 0.002 -0.449 3.262
Gd 2.058 6.052 7.433
Cu 0.006 2.307 4.539
Cu -0.010 4.715 9.602
Cu 2.069 0.888 1.093
Cu 2.054 3.296 6.156
Te 0.004 2.293 1.931
Te -0.009 4.795 5.319
Te 0.008 -0.378 9.263
Te 2.052 5.981 1.432
Te 2.068 0.808 5.376
Te 2.055 3.311 8.764



4
Lattice="2.337 1.349 5.547 -2.337 1.349 5.547 0.000 -2.699 5.547" Properties=species:S:1:pos:R:3 comment="NdSc2Ga, optimized geometry, DFT PBE" de_polymorph_mev_per_atom=119 formation_energy_mev_per_atom=-168 total_energy_ev_per_atom=-5.282 sg=R3m pbc="T T T"
Nd 0.000 0.000 0.000
Sc 0.000 0.000 3.532
Sc 0.000 0.000 7.469
Ga 0.000 0.000 13.307